The following is a DFT calculation (SCAN) of PrCdGa at its PBEsol-relaxed geometry.

ρ = 7.74 g/cm³
N(E_F) = 0.1538 states/eV/atom
total moment = 0.000 μB/atom
ΔH_f (0 K) = -634.6 meV per atom

Cell and atoms, written as CIF:
```
data_PrCdGa
_chemical_formula_sum 'Pr3 Cd3 Ga3'
_cell_length_a 7.3446
_cell_length_b 7.3446
_cell_length_c 4.4501
_cell_angle_alpha 90.00
_cell_angle_beta 90.00
_cell_angle_gamma 120.00
_space_group_name_H-M_alt 'P -6 2 m'
_space_group_IT_number 189
_space_group_name_Hall 'P -6 -2'
loop_
_atom_site_label
_atom_site_fract_x
_atom_site_fract_y
_atom_site_fract_z
Pr1 0.0000 0.4205 0.0000
Cd1 0.0000 0.7535 0.5000
Ga1 0.0000 0.0000 0.0000
Ga2 0.3333 0.6667 0.5000
```

***

The following is a DFT calculation (SCAN) of ScWBr4 at its PBEsol-relaxed geometry.

ρ = 6.01 g/cm³
N(E_F) = 0.6141 states/eV/atom
total moment = 1.176 μB/atom
E_form (uncorrected) = 1.248 eV/atom

Cell and atoms, written as CIF:
```
data_ScWBr4
_chemical_formula_sum 'Sc4 W4 Br16'
_cell_length_a 8.4626
_cell_length_b 8.4626
_cell_length_c 8.4626
_cell_angle_alpha 90.00
_cell_angle_beta 90.00
_cell_angle_gamma 90.00
_space_group_name_H-M_alt 'F -4 3 m'
_space_group_IT_number 216
_space_group_name_Hall 'F -4 2 3'
loop_
_atom_site_label
_atom_site_fract_x
_atom_site_fract_y
_atom_site_fract_z
Sc1 0.0000 0.0000 0.0000
W1 0.2500 0.2500 0.2500
Br1 0.1250 0.1250 0.6250
```

***

The following is a DFT calculation (SCAN) of ZrFe2Pt at its PBEsol-relaxed geometry.

ρ = 11.38 g/cm³
N(E_F) = 0.6582 states/eV/atom
total moment = 1.231 μB/atom
ΔH_f (0 K) = -233.6 meV per atom

Cell and atoms, written as CIF:
```
data_ZrFe2Pt
_chemical_formula_sum 'Zr2 Fe4 Pt2'
_cell_length_a 5.3604
_cell_length_b 8.5498
_cell_length_c 2.7320
_cell_angle_alpha 90.00
_cell_angle_beta 111.89
_cell_angle_gamma 90.00
_space_group_name_H-M_alt 'C 1 2/m 1'
_space_group_IT_number 12
loop_
_space_group_symop_operation_xyz
'x,y,z'
'-x,-y,-z'
'-x,y,-z'
'x,-y,z'
'x+1/2,y+1/2,z'
'-x+1/2,-y+1/2,-z'
'-x+1/2,y+1/2,-z'
'x+1/2,-y+1/2,z'
loop_
_atom_site_label
_atom_site_fract_x
_atom_site_fract_y
_atom_site_fract_z
Zr1 0.0000 0.0000 0.0000
Fe1 0.2500 0.2500 0.5000
Pt1 0.0000 0.5000 0.0000
```

***

The following is a DFT calculation (SCAN) of TaRu2Au at its PBEsol-relaxed geometry.

ρ = 15.45 g/cm³
N(E_F) = 0.5504 states/eV/atom
total moment = 0.357 μB/atom
ΔH_f (0 K) = 8.5 meV per atom

Cell and atoms, written as CIF:
```
data_TaRu2Au
_chemical_formula_sum 'Ta1 Ru2 Au1'
_cell_length_a 3.3430
_cell_length_b 3.3430
_cell_length_c 5.5798
_cell_angle_alpha 90.00
_cell_angle_beta 90.00
_cell_angle_gamma 90.00
_space_group_name_H-M_alt 'P 4 m m'
_space_group_IT_number 99
loop_
_space_group_symop_operation_xyz
'x,y,z'
'-y,x,z'
'-x,-y,z'
'y,-x,z'
'-x,y,z'
'y,x,z'
'x,-y,z'
'-y,-x,z'
loop_
_atom_site_label
_atom_site_fract_x
_atom_site_fract_y
_atom_site_fract_z
Ta1 0.0000 0.0000 0.0000
Ru1 0.0000 0.0000 0.5595
Ru2 0.5000 0.5000 0.7686
Au1 0.5000 0.5000 0.2815
```

***

The following is a DFT calculation (SCAN) of LiMgIn at its PBEsol-relaxed geometry.

ρ = 3.68 g/cm³
N(E_F) = 0.4979 states/eV/atom
total moment = 0.000 μB/atom
ΔH_f (0 K) = -36.7 meV per atom

Cell and atoms, written as CIF:
```
data_LiMgIn
_chemical_formula_sum 'Li4 Mg4 In4'
_cell_length_a 6.4110
_cell_length_b 6.4110
_cell_length_c 6.4110
_cell_angle_alpha 90.00
_cell_angle_beta 90.00
_cell_angle_gamma 90.00
_space_group_name_H-M_alt 'F -4 3 m'
_space_group_IT_number 216
_space_group_name_Hall 'F -4 2 3'
loop_
_atom_site_label
_atom_site_fract_x
_atom_site_fract_y
_atom_site_fract_z
Li1 0.0000 0.0000 0.0000
Mg1 0.2500 0.2500 0.7500
In1 0.2500 0.2500 0.2500
```

***

The following is a DFT calculation (SCAN) of KMnMo2 at its PBEsol-relaxed geometry.

ρ = 7.35 g/cm³
N(E_F) = 0.9291 states/eV/atom
total moment = 0.493 μB/atom
ΔH_f (0 K) = 1741.9 meV per atom

Cell and atoms, written as CIF:
```
data_KMnMo2
_chemical_formula_sum 'K1 Mn1 Mo2'
_cell_length_a 4.9519
_cell_length_b 4.9519
_cell_length_c 2.6347
_cell_angle_alpha 90.00
_cell_angle_beta 90.00
_cell_angle_gamma 90.00
_space_group_name_H-M_alt 'P 4/m m m'
_space_group_IT_number 123
_space_group_name_Hall '-P 4 2'
loop_
_atom_site_label
_atom_site_fract_x
_atom_site_fract_y
_atom_site_fract_z
K1 0.0000 0.0000 0.0000
Mn1 0.5000 0.5000 0.0000
Mo1 0.0000 0.5000 0.5000
```